Entry 1:
DFT (PBE) results for a relaxed structure of NbZnN2O.

```
NbZnN2O
1.0
-0.262 -3.536 -2.083
4.009 0.225 -0.885
0.839 -2.000 3.289
N Nb Zn O
2 1 1 1
Direct
0.500 0.000 0.000 N
0.000 0.500 0.000 N
0.000 0.000 0.000 Nb
0.500 0.500 0.500 Zn
0.000 0.000 0.500 O
```

* formation energy (no corrections): -0.0796 eV/atom
* calculated volume: 13.3 Å³/atom
* Fermi-level density of states: 4.2 states/eV per cell

---

Entry 2:
DFT (PBE) results for a relaxed structure of NpAgTe.

```
NpAgTe
1.0
3.642 0.000 0.000
1.821 3.154 0.000
1.821 1.051 12.217
Np Ag Te
2 2 2
Direct
0.316 0.316 0.053 Np
0.684 0.684 0.947 Np
0.860 0.860 0.421 Ag
0.140 0.140 0.579 Ag
0.588 0.588 0.237 Te
0.412 0.412 0.763 Te
```

* formation energy (no corrections): -0.0386 eV/atom
* calculated volume: 23.4 Å³/atom
* Fermi-level density of states: 7.0 states/eV per cell

---

Entry 3:
DFT (PBE) results for a relaxed structure of Nd2Cu2Pd.

```
Nd2Cu2Pd
1.0
4.171 0.000 0.000
2.086 5.293 -0.340
2.086 0.253 10.036
Pd Nd Cu
2 4 4
Direct
0.600 0.125 0.676 Pd
0.400 0.875 0.324 Pd
0.919 0.278 0.885 Nd
0.081 0.722 0.115 Nd
0.315 0.721 0.649 Nd
0.685 0.279 0.351 Nd
0.063 0.308 0.566 Cu
0.373 0.146 0.108 Cu
0.627 0.854 0.892 Cu
0.937 0.692 0.434 Cu
```

* ΔE to the lowest computed polymorph: 0.0 kJ/mol of atoms
* calculated volume: 22.2 Å³/atom
* Fermi-level density of states: 6.5 states/eV per cell

---

Entry 4:
DFT (PBE) results for a relaxed structure of YGaSi2I.

```
YGaSi2I
1.0
-2.531 -0.957 -3.886
-4.650 -1.307 3.350
-1.409 4.516 -0.195
Si Y I Ga
2 1 1 1
Direct
0.000 0.000 0.500 Si
0.500 0.000 0.000 Si
0.000 0.500 0.000 Y
0.500 0.500 0.500 I
0.000 0.000 0.000 Ga
```

* formation energy (no corrections): 0.3009 eV/atom
* calculated volume: 26.4 Å³/atom
* Fermi-level density of states: 4.2 states/eV per cell

---

Entry 5:
DFT (PBE) results for a relaxed structure of LiTc2Br.

```
LiTc2Br
1.0
2.957 0.000 0.000
0.000 4.456 0.000
0.000 0.000 5.091
Li Tc Br
1 2 1
Direct
0.500 0.500 0.750 Li
0.000 0.000 0.964 Tc
0.000 0.000 0.536 Tc
0.500 0.500 0.250 Br
```

* ΔE to the lowest computed polymorph: 68.5 kJ/mol of atoms
* formation energy (no corrections): 0.7459 eV/atom
* calculated volume: 16.8 Å³/atom
* Fermi-level density of states: 3.4 states/eV per cell

---

Entry 6:
DFT (PBE) results for a relaxed structure of BaEuGaPb.

```
BaEuGaPb
1.0
-2.280 1.791 -4.992
-5.698 -0.348 -0.860
-3.194 4.806 -0.155
Ga Pb Eu Ba
1 1 1 1
Direct
0.750 0.750 0.750 Ga
0.250 0.250 0.250 Pb
0.000 0.000 0.000 Eu
0.500 0.500 0.500 Ba
```

* uncorrected energy: -5.1351 eV per atom
* calculated volume: 34.0 Å³/atom
* Fermi-level density of states: 10.4 states/eV per cell

---

Entry 7:
DFT (PBE) results for a relaxed structure of YAlOs2Au.

```
YAlOs2Au
1.0
4.921 0.000 0.000
0.000 5.117 0.000
0.000 0.000 4.921
Au Os Y Al
1 2 1 1
Direct
0.000 0.000 0.000 Au
0.000 0.000 0.500 Os
0.500 0.000 0.000 Os
0.000 0.500 0.000 Y
0.500 0.500 0.500 Al
```

* uncorrected energy: -5.5129 eV per atom
* calculated volume: 24.8 Å³/atom
* Fermi-level density of states: 5.7 states/eV per cell

---

Entry 8:
DFT (PBE) results for a relaxed structure of Tl5Hg2Pb2.

```
Tl5Hg2Pb2
1.0
-0.790 2.050 2.796
-2.237 -2.575 -1.005
11.651 -15.979 15.008
Hg Tl Pb
2 5 2
Direct
0.667 0.333 0.105 Hg
0.333 0.667 0.895 Hg
0.333 0.667 0.558 Tl
0.333 0.667 0.213 Tl
0.667 0.333 0.442 Tl
0.667 0.333 0.787 Tl
0.000 0.000 0.000 Tl
0.000 0.000 0.329 Pb
0.000 0.000 0.671 Pb
```

* ΔE to the lowest computed polymorph: 0.0 kJ/mol of atoms
* calculated volume: 30.2 Å³/atom
* Fermi-level density of states: 4.6 states/eV per cell

---

Entry 9:
DFT (PBE) results for a relaxed structure of AcNbAgO5.

```
AcNbAgO5
1.0
6.521 -0.575 -0.126
-2.454 6.069 -0.126
-1.893 -2.557 8.274
O Ac Nb Ag
10 2 2 2
Direct
0.224 0.449 0.578 O
0.096 0.904 0.250 O
0.551 0.776 0.922 O
0.018 0.645 0.825 O
0.449 0.224 0.078 O
0.645 0.018 0.325 O
0.982 0.355 0.175 O
0.776 0.551 0.422 O
0.904 0.096 0.750 O
0.355 0.982 0.675 O
0.000 0.000 0.000 Ac
0.000 0.000 0.500 Ac
0.709 0.291 0.250 Nb
0.291 0.709 0.750 Nb
0.711 0.289 0.750 Ag
0.289 0.711 0.250 Ag
```

* formation energy (no corrections): -2.1229 eV/atom
* calculated volume: 19.5 Å³/atom
* Fermi-level density of states: 2.0 states/eV per cell

---

Entry 10:
DFT (PBE) results for a relaxed structure of Pm4CoCCl2.

```
Pm4CoCCl2
1.0
-0.771 1.339 -3.437
-6.771 -1.255 1.030
1.326 6.992 2.426
Co Pm Cl C
1 4 2 1
Direct
0.500 0.500 0.000 Co
0.000 0.738 0.195 Pm
0.500 0.785 0.808 Pm
0.500 0.215 0.192 Pm
0.000 0.262 0.805 Pm
0.500 0.000 0.500 Cl
0.000 0.500 0.500 Cl
0.000 0.000 0.000 C
```

* formation energy (no corrections): -0.8670 eV/atom
* calculated volume: 23.6 Å³/atom
* Fermi-level density of states: 6.2 states/eV per cell

---

Entry 11:
DFT (PBE) results for a relaxed structure of DyHoAlCo.

```
DyHoAlCo
1.0
-4.229 -2.456 -0.733
0.063 -4.907 -0.605
-1.792 -2.951 3.540
Co Dy Ho Al
1 1 1 1
Direct
0.250 0.250 0.250 Co
0.500 0.500 0.500 Dy
0.000 0.000 0.000 Ho
0.750 0.750 0.750 Al
```

* uncorrected energy: -5.2170 eV per atom
* calculated volume: 21.4 Å³/atom
* Fermi-level density of states: 3.0 states/eV per cell

---

Entry 12:
DFT (PBE) results for a relaxed structure of RbAgSb2S4.

```
RbAgSb2S4
1.0
4.128 0.000 0.000
-2.064 6.769 0.000
0.000 0.000 14.799
S Rb Sb Ag
8 2 4 2
Direct
0.737 0.474 0.597 S
0.000 0.000 0.000 S
0.000 0.000 0.500 S
0.263 0.526 0.403 S
0.263 0.526 0.097 S
0.570 0.141 0.250 S
0.737 0.474 0.903 S
0.430 0.859 0.750 S
0.888 0.777 0.250 Rb
0.112 0.223 0.750 Rb
0.633 0.265 0.442 Sb
0.633 0.265 0.058 Sb
0.367 0.735 0.942 Sb
0.367 0.735 0.558 Sb
0.165 0.330 0.250 Ag
0.835 0.670 0.750 Ag
```

* formation energy (no corrections): -0.3813 eV/atom
* calculated volume: 25.8 Å³/atom
* Fermi-level density of states: 0.7 states/eV per cell

---

Entry 13:
DFT (PBE) results for a relaxed structure of Th6GaS5.

```
Th6GaS5
1.0
-5.578 2.121 3.831
5.033 -4.006 2.984
3.522 6.166 -0.470
S Th Ga
5 6 1
Direct
0.500 0.500 0.500 S
0.161 0.839 0.500 S
0.839 0.161 0.500 S
0.668 0.332 0.000 S
0.332 0.668 0.000 S
0.576 0.915 0.747 Th
0.744 0.744 0.251 Th
0.256 0.256 0.749 Th
0.915 0.576 0.747 Th
0.424 0.085 0.253 Th
0.085 0.424 0.253 Th
0.000 0.000 0.000 Ga
```

* formation energy (no corrections): -1.5932 eV/atom
* calculated volume: 24.4 Å³/atom
* Fermi-level density of states: 8.1 states/eV per cell

---

Entry 14:
DFT (PBE) results for a relaxed structure of Nd3Dy3Tm2.

```
Nd3Dy3Tm2
1.0
5.613 0.000 -1.056
-0.371 5.648 -1.971
-1.276 -0.385 8.662
Tm Nd Dy
2 3 3
Direct
0.250 0.318 0.500 Tm
0.750 0.682 0.500 Tm
0.365 0.926 0.729 Nd
0.500 0.500 0.000 Nd
0.635 0.074 0.271 Nd
0.134 0.686 0.267 Dy
0.000 0.000 0.000 Dy
0.866 0.314 0.733 Dy
```

* ΔE to the lowest computed polymorph: 5.6 kJ/mol of atoms
* calculated volume: 32.8 Å³/atom
* Fermi-level density of states: 12.7 states/eV per cell

---

Entry 15:
DFT (PBE) results for a relaxed structure of AcGa12.

```
AcGa12
1.0
7.085 0.000 0.000
0.000 7.085 0.000
0.000 0.000 7.085
Ga Ac
12 1
Direct
0.500 0.751 0.000 Ga
0.249 0.500 0.000 Ga
0.500 0.000 0.249 Ga
0.000 0.249 0.500 Ga
0.500 0.000 0.751 Ga
0.000 0.500 0.751 Ga
0.249 0.000 0.500 Ga
0.751 0.000 0.500 Ga
0.500 0.249 0.000 Ga
0.000 0.751 0.500 Ga
0.751 0.500 0.000 Ga
0.000 0.500 0.249 Ga
0.500 0.500 0.500 Ac
```

* uncorrected energy: -3.0125 eV per atom
* calculated volume: 27.4 Å³/atom
* Fermi-level density of states: 7.1 states/eV per cell

---

Entry 16:
DFT (PBE) results for a relaxed structure of Ac2As3Pd5.

```
Ac2As3Pd5
1.0
-1.232 5.369 -3.437
-5.145 -1.663 -6.884
-8.045 3.078 1.559
Pd Ac As
10 4 6
Direct
0.250 0.500 0.500 Pd
0.881 0.999 0.238 Pd
0.477 0.273 0.273 Pd
0.977 0.273 0.273 Pd
0.523 0.727 0.727 Pd
0.619 0.762 0.001 Pd
0.023 0.727 0.727 Pd
0.119 0.001 0.762 Pd
0.381 0.238 0.999 Pd
0.750 0.500 0.500 Pd
0.627 0.119 0.626 Ac
0.127 0.626 0.119 Ac
0.873 0.374 0.881 Ac
0.373 0.881 0.374 Ac
0.750 0.000 0.000 As
0.879 0.756 0.487 As
0.121 0.244 0.513 As
0.621 0.513 0.244 As
0.379 0.487 0.756 As
0.250 0.000 0.000 As
```

* uncorrected energy: -5.6809 eV per atom
* calculated volume: 20.9 Å³/atom
* Fermi-level density of states: 11.0 states/eV per cell

---

Entry 17:
DFT (PBE) results for a relaxed structure of SmPaRh4.

```
SmPaRh4
1.0
5.350 0.000 0.000
2.675 4.634 0.000
2.675 1.545 4.369
Sm Rh Pa
1 4 1
Direct
0.000 0.000 0.000 Sm
0.625 0.625 0.625 Rh
0.625 0.125 0.625 Rh
0.125 0.625 0.625 Rh
0.625 0.625 0.125 Rh
0.250 0.250 0.250 Pa
```

* ΔE to the lowest computed polymorph: 0.0 kJ/mol of atoms
* calculated volume: 18.1 Å³/atom
* Fermi-level density of states: 6.0 states/eV per cell

---

Entry 18:
DFT (PBE) results for a relaxed structure of TcOs2.

```
TcOs2
1.0
1.396 -2.640 3.992
2.383 4.105 -1.524
-4.495 1.720 1.300
Os Tc
4 2
Direct
0.140 0.640 0.781 Os
0.360 0.140 0.500 Os
0.640 0.860 0.500 Os
0.860 0.360 0.219 Os
0.250 0.250 0.000 Tc
0.750 0.750 0.000 Tc
```

* ΔE to the lowest computed polymorph: 45.7 kJ/mol of atoms
* calculated volume: 15.2 Å³/atom
* Fermi-level density of states: 4.2 states/eV per cell

---

Entry 19:
DFT (PBE) results for a relaxed structure of HfInCu5.

```
HfInCu5
1.0
4.859 0.000 0.000
0.000 8.023 0.000
0.000 0.000 10.554
Cu In Hf
20 4 4
Direct
0.750 0.049 0.903 Cu
0.250 0.189 0.265 Cu
0.250 0.451 0.403 Cu
0.003 0.569 0.813 Cu
0.497 0.569 0.813 Cu
0.750 0.311 0.765 Cu
0.497 0.069 0.687 Cu
0.503 0.431 0.187 Cu
0.750 0.414 0.983 Cu
0.250 0.086 0.483 Cu
0.003 0.069 0.687 Cu
0.997 0.931 0.313 Cu
0.750 0.914 0.517 Cu
0.250 0.951 0.097 Cu
0.250 0.689 0.235 Cu
0.750 0.549 0.597 Cu
0.503 0.931 0.313 Cu
0.250 0.586 0.017 Cu
0.997 0.431 0.187 Cu
0.750 0.811 0.735 Cu
0.250 0.866 0.861 In
0.750 0.634 0.361 In
0.250 0.366 0.639 In
0.750 0.134 0.139 In
0.750 0.242 0.433 Hf
0.750 0.742 0.067 Hf
0.250 0.258 0.933 Hf
0.250 0.758 0.567 Hf
```

* uncorrected energy: -4.8119 eV per atom
* calculated volume: 14.7 Å³/atom
* Fermi-level density of states: 9.5 states/eV per cell

---

Entry 20:
DFT (PBE) results for a relaxed structure of CaErGa2Pd5.

```
CaErGa2Pd5
1.0
4.239 0.000 0.000
0.000 4.239 0.000
0.000 0.000 9.100
Pd Ca Er Ga
5 1 1 2
Direct
0.000 0.500 0.728 Pd
0.500 0.000 0.272 Pd
0.500 0.500 0.500 Pd
0.500 0.000 0.728 Pd
0.000 0.500 0.272 Pd
0.000 0.000 0.500 Ca
0.000 0.000 0.000 Er
0.500 0.500 0.135 Ga
0.500 0.500 0.865 Ga
```

* uncorrected energy: -4.9881 eV per atom
* calculated volume: 18.2 Å³/atom
* Fermi-level density of states: 4.2 states/eV per cell